Below is a relaxed structure of Ti2TcCl, with properties calculated at the GGA-PBE level.

a = 6.315 Å, b = 6.315 Å, c = 6.315 Å
α = 90.00°, β = 90.00°, γ = 90.00°
Space group Fm-3m (No. 225)
One atom of each set of equivalent atoms:
Ti (0.250, 0.250, 0.250) x8
Tc (0.000, 0.000, 0.000) x4
Cl (0.000, 0.000, 0.500) x4

***

Below is a relaxed structure of TiTc3Cl, with properties calculated at the GGA-PBE level.

a = 4.656 Å, b = 4.656 Å, c = 4.656 Å
α = 90.00°, β = 90.00°, γ = 90.00°
Space group Pm-3m (No. 221)
One atom of each set of equivalent atoms:
Ti (0.000, 0.000, 0.000) x1
Tc (0.000, 0.000, 0.500) x3
Cl (0.500, 0.500, 0.500) x1

***

Below is a relaxed structure of TiTc2Cl2, with properties calculated at the GGA-PBE level.

a = 7.171 Å, b = 7.171 Å, c = 3.181 Å
α = 90.00°, β = 90.00°, γ = 90.00°
Space group P4/mbm (No. 127)
One atom of each set of equivalent atoms:
Ti (0.000, 0.000, 0.000) x2
Tc (0.112, 0.388, 0.500) x4
Cl (0.209, 0.709, 0.000) x4

***

| no. | calculated density (g cm⁻³) | ΔE_f (raw) (meV per atom) | E (eV per atom) |
| --- | --- | --- | --- |
| 1 | 6.05 | 191 | -6.81 |
| 2 | 6.21 | 1755 | -6.41 |
| 3 | 6.39 | 607 | -5.86 |